[1]
! BeTc2Ag, optimized geometry, DFT PBE; values from VASP
&SYSTEM
  ibrav = 0, nat = 8, ntyp = 3
/
ATOMIC_SPECIES
Be 9.01 Be.upf
Tc 98.00 Tc.upf
Ag 107.87 Ag.upf
ATOMIC_POSITIONS crystal
Be 0.0000 0.0000 0.0000
Be 0.7500 0.2500 0.5000
Tc 0.0859 0.1250 0.4609
Tc 0.3750 0.9141 0.0391
Tc 0.6641 0.6250 0.5391
Tc 0.8750 0.3359 0.9609
Ag 0.2500 0.7500 0.5000
Ag 0.5000 0.5000 0.0000
CELL_PARAMETERS angstrom
-1.8016 1.8016 9.4316
1.8016 -1.8016 9.4316
1.8016 1.8016 -9.4316
! Formation energy from the elements: 679 meV/atom
! Crystal system: tetragonal
! Volume: 122 Å³ per cell
! Final energy: -6.148 eV/atom



[2]
! BeTcAg, optimized geometry, DFT PBE; values from VASP
&SYSTEM
  ibrav = 0, nat = 3, ntyp = 3
/
ATOMIC_SPECIES
Be 9.01 Be.upf
Tc 98.00 Tc.upf
Ag 107.87 Ag.upf
ATOMIC_POSITIONS crystal
Be 0.0000 0.0000 0.0000
Tc 0.2500 0.2500 0.2500
Ag 0.7500 0.7500 0.7500
CELL_PARAMETERS angstrom
0.0000 2.8068 2.8068
2.8068 0.0000 2.8068
2.8068 2.8068 0.0000
! Formation energy from the elements: 686 meV/atom
! Crystal system: cubic
! Volume: 44 Å³ per cell
! Final energy: -4.962 eV/atom
! Offset from the most stable computed form: 124 kJ/mol of formula units



[3]
! BeTcAg, optimized geometry, DFT PBE; values from VASP
&SYSTEM
  ibrav = 0, nat = 3, ntyp = 3
/
ATOMIC_SPECIES
Be 9.01 Be.upf
Tc 98.00 Tc.upf
Ag 107.87 Ag.upf
ATOMIC_POSITIONS crystal
Be 0.0000 0.0000 0.0000
Tc 0.6667 0.3333 0.2960
Ag 0.3333 0.6667 0.6837
CELL_PARAMETERS angstrom
2.7169 0.0000 0.0000
-1.3584 2.3529 0.0000
0.0000 0.0000 6.4930
! Formation energy from the elements: 300 meV/atom
! Crystal system: trigonal
! Volume: 42 Å³ per cell
! Final energy: -5.348 eV/atom
! Offset from the most stable computed form: 12 kJ/mol of formula units



[4]
! BeTc4Ag, optimized geometry, DFT PBE; values from VASP
&SYSTEM
  ibrav = 0, nat = 6, ntyp = 3
/
ATOMIC_SPECIES
Be 9.01 Be.upf
Tc 98.00 Tc.upf
Ag 107.87 Ag.upf
ATOMIC_POSITIONS crystal
Be 0.0000 0.0000 0.0000
Tc 0.1248 0.6251 0.6251
Tc 0.6251 0.1248 0.6251
Tc 0.6251 0.6251 0.1248
Tc 0.6251 0.6251 0.6251
Ag 0.2500 0.2500 0.2500
CELL_PARAMETERS angstrom
0.0000 3.6118 3.6118
3.6118 0.0000 3.6118
3.6118 3.6118 0.0000
! Formation energy from the elements: 664 meV/atom
! Crystal system: cubic
! Volume: 94 Å³ per cell
! Final energy: -7.343 eV/atom



[5]
! BeTcAg2, optimized geometry, DFT PBE; values from VASP
&SYSTEM
  ibrav = 0, nat = 4, ntyp = 3
/
ATOMIC_SPECIES
Be 9.01 Be.upf
Tc 98.00 Tc.upf
Ag 107.87 Ag.upf
ATOMIC_POSITIONS crystal
Be 0.0000 0.0000 0.0000
Tc 0.5000 0.5000 0.0000
Ag 0.0000 0.5000 0.5000
Ag 0.5000 0.0000 0.5000
CELL_PARAMETERS angstrom
2.6562 -4.7753 0.0000
2.6562 4.7753 0.0000
-1.0608 0.0000 2.3911
! Formation energy from the elements: 503 meV/atom
! Crystal system: monoclinic
! Volume: 61 Å³ per cell
! Final energy: -4.446 eV/atom



[6]
! BeTc2AgW, optimized geometry, DFT PBE; values from VASP
&SYSTEM
  ibrav = 0, nat = 5, ntyp = 4
/
ATOMIC_SPECIES
Be 9.01 Be.upf
Tc 98.00 Tc.upf
Ag 107.87 Ag.upf
W 183.84 W.upf
ATOMIC_POSITIONS crystal
Be 0.0000 0.0000 0.0000
Tc 0.0000 0.5000 0.5000
Tc 0.5000 0.0000 0.5000
Ag 0.0000 0.0000 0.5000
W 0.5000 0.5000 0.0000
CELL_PARAMETERS angstrom
4.8101 0.0000 0.0000
0.0000 4.8101 0.0000
0.0000 0.0000 3.7613
! Formation energy from the elements: 2032 meV/atom
! Crystal system: tetragonal
! Volume: 87 Å³ per cell
! Final energy: -6.021 eV/atom



[7]
! BeAgTe2, optimized geometry, DFT PBE; values from VASP
&SYSTEM
  ibrav = 0, nat = 4, ntyp = 3
/
ATOMIC_SPECIES
Be 9.01 Be.upf
Ag 107.87 Ag.upf
Te 127.60 Te.upf
ATOMIC_POSITIONS crystal
Be 0.0000 0.0000 0.0000
Ag 0.5000 0.5000 0.5000
Te 0.2626 0.2626 0.2626
Te 0.7374 0.7374 0.7374
CELL_PARAMETERS angstrom
1.8980 1.0958 7.0458
-1.8980 1.0958 7.0458
0.0000 -2.1917 7.0458
! Formation energy from raw total energies: 17 kJ/mol of formula units
! Crystal system: trigonal
! Volume: 88 Å³ per cell
! Final energy: -3.170 eV/atom



[8]
! BeAgTe2, optimized geometry, DFT PBE; values from VASP
&SYSTEM
  ibrav = 0, nat = 4, ntyp = 3
/
ATOMIC_SPECIES
Be 9.01 Be.upf
Ag 107.87 Ag.upf
Te 127.60 Te.upf
ATOMIC_POSITIONS crystal
Be 0.0000 0.0000 0.0000
Ag 0.7212 0.7212 0.0059
Te 0.1146 0.1146 0.2934
Te 0.4284 0.4284 0.7966
CELL_PARAMETERS angstrom
4.5531 -1.7927 0.0000
4.5531 1.7927 0.0000
-0.3341 0.0000 7.2586
! Formation energy from raw total energies: 4 kJ/mol of formula units
! Crystal system: monoclinic
! Volume: 118 Å³ per cell
! Final energy: -3.204 eV/atom



[9]
! Be3AgTe, optimized geometry, DFT PBE; values from VASP
&SYSTEM
  ibrav = 0, nat = 5, ntyp = 3
/
ATOMIC_SPECIES
Be 9.01 Be.upf
Ag 107.87 Ag.upf
Te 127.60 Te.upf
ATOMIC_POSITIONS crystal
Be 0.0000 0.0000 0.5000
Be 0.0000 0.5000 0.0000
Be 0.5000 0.0000 0.0000
Ag 0.5000 0.5000 0.5000
Te 0.0000 0.0000 0.0000
CELL_PARAMETERS angstrom
4.7241 0.0000 0.0000
0.0000 4.7241 0.0000
0.0000 0.0000 4.7241
! Formation energy from raw total energies: 654 kJ/mol of formula units
! Crystal system: cubic
! Volume: 105 Å³ per cell
! Final energy: -2.079 eV/atom
! Offset from the most stable computed form: 243 kJ/mol of formula units



[10]
! BeAgTe2, optimized geometry, DFT PBE; values from VASP
&SYSTEM
  ibrav = 0, nat = 4, ntyp = 3
/
ATOMIC_SPECIES
Be 9.01 Be.upf
Ag 107.87 Ag.upf
Te 127.60 Te.upf
ATOMIC_POSITIONS crystal
Be 0.0000 0.0000 0.0000
Ag 0.5000 0.5000 0.7663
Te 0.0000 0.0000 0.6565
Te 0.5000 0.5000 0.1416
CELL_PARAMETERS angstrom
3.7836 0.0000 0.0000
0.0000 3.7836 0.0000
0.0000 0.0000 7.3881
! Formation energy from raw total energies: 60 kJ/mol of formula units
! Crystal system: tetragonal
! Volume: 106 Å³ per cell
! Final energy: -3.060 eV/atom



[11]
! BeAgTe3, optimized geometry, DFT PBE; values from VASP
&SYSTEM
  ibrav = 0, nat = 5, ntyp = 3
/
ATOMIC_SPECIES
Be 9.01 Be.upf
Ag 107.87 Ag.upf
Te 127.60 Te.upf
ATOMIC_POSITIONS crystal
Be 0.0000 0.0000 0.0000
Ag 0.5000 0.5000 0.5000
Te 0.0000 0.0000 0.5000
Te 0.0000 0.5000 0.0000
Te 0.5000 0.0000 0.0000
CELL_PARAMETERS angstrom
5.0261 0.0000 0.0000
0.0000 5.0261 0.0000
0.0000 0.0000 5.0261
! Formation energy from raw total energies: 228 kJ/mol of formula units
! Crystal system: cubic
! Volume: 127 Å³ per cell
! Final energy: -2.728 eV/atom
! Offset from the most stable computed form: 0 kJ/mol of formula units



[12]
! BeAgTe2, optimized geometry, DFT PBE; values from VASP
&SYSTEM
  ibrav = 0, nat = 8, ntyp = 3
/
ATOMIC_SPECIES
Be 9.01 Be.upf
Ag 107.87 Ag.upf
Te 127.60 Te.upf
ATOMIC_POSITIONS crystal
Be 0.0000 0.0000 0.0000
Be 0.7500 0.2500 0.5000
Ag 0.2500 0.7500 0.5000
Ag 0.5000 0.5000 0.0000
Te 0.0805 0.6250 0.9555
Te 0.3750 0.3305 0.4555
Te 0.6695 0.1250 0.0445
Te 0.8750 0.9195 0.5445
CELL_PARAMETERS angstrom
-3.0686 3.0686 5.6984
3.0686 -3.0686 5.6984
3.0686 3.0686 -5.6984
! Formation energy from raw total energies: -45 kJ/mol of formula units
! Crystal system: tetragonal
! Volume: 215 Å³ per cell
! Final energy: -3.332 eV/atom



[13]
! BeAgTe2, optimized geometry, DFT PBE; values from VASP
&SYSTEM
  ibrav = 0, nat = 4, ntyp = 3
/
ATOMIC_SPECIES
Be 9.01 Be.upf
Ag 107.87 Ag.upf
Te 127.60 Te.upf
ATOMIC_POSITIONS crystal
Be 0.0000 0.0000 0.0000
Ag 0.5000 0.5000 0.1679
Te 0.0000 0.0000 0.3773
Te 0.5000 0.5000 0.8323
CELL_PARAMETERS angstrom
2.0982 -3.2279 0.0000
2.0982 3.2279 0.0000
0.0000 0.0000 8.0162
! Formation energy from raw total energies: 69 kJ/mol of formula units
! Crystal system: orthorhombic
! Volume: 109 Å³ per cell
! Final energy: -3.036 eV/atom



[14]
! BeAgTe3, optimized geometry, DFT PBE; values from VASP
&SYSTEM
  ibrav = 0, nat = 5, ntyp = 3
/
ATOMIC_SPECIES
Be 9.01 Be.upf
Ag 107.87 Ag.upf
Te 127.60 Te.upf
ATOMIC_POSITIONS crystal
Be 0.0000 0.0000 0.0000
Ag 0.5000 0.5000 0.5000
Te 0.0000 0.5000 0.5000
Te 0.5000 0.0000 0.5000
Te 0.5000 0.5000 0.0000
CELL_PARAMETERS angstrom
5.4162 0.0000 0.0000
0.0000 5.4162 0.0000
0.0000 0.0000 5.4162
! Formation energy from raw total energies: 513 kJ/mol of formula units
! Crystal system: cubic
! Volume: 159 Å³ per cell
! Final energy: -2.136 eV/atom
! Offset from the most stable computed form: 285 kJ/mol of formula units



[15]
! Be4AgTe2, optimized geometry, DFT PBE; values from VASP
&SYSTEM
  ibrav = 0, nat = 7, ntyp = 3
/
ATOMIC_SPECIES
Be 9.01 Be.upf
Ag 107.87 Ag.upf
Te 127.60 Te.upf
ATOMIC_POSITIONS crystal
Be 0.0000 0.5000 0.5000
Be 0.1615 0.1615 0.0000
Be 0.5000 0.0000 0.5000
Be 0.8385 0.8385 0.0000
Ag 0.0000 0.0000 0.0000
Te 0.3275 0.3275 0.0000
Te 0.6725 0.6725 0.0000
CELL_PARAMETERS angstrom
-2.1560 2.1560 7.3048
2.1560 -2.1560 7.3048
2.1560 2.1560 -7.3048
! Formation energy from raw total energies: 492 kJ/mol of formula units
! Crystal system: tetragonal
! Volume: 136 Å³ per cell
! Final energy: -2.706 eV/atom